1.
Compound: CaLaWN4
Source: Alexandria via LeMat-Bulk
Functional: GGA-PBE
Structure: relaxed

## Properties
**Volume**: 99.90 Å³ per cell
**Space group**: No. 107
**VASP energy**: -58.94 eV per formula unit
**Crystal system**: tetragonal
**M_tot**: 0.985 μB/f.u.
**Density**: 6.962 g cm⁻³
**D(E_F)**: 4.05 states/eV/cell

```
7
Lattice="-1.975 1.975 6.404 1.975 -1.975 6.404 1.975 1.975 -6.404" Properties=species:S:1:pos:R:3 pbc="T T T"
Ca 0.000 0.000 0.000
La 0.000 0.000 3.731
W 0.000 0.000 8.121
N 1.975 0.000 1.946
N 0.000 0.000 6.229
N 0.000 1.975 1.946
N 0.000 0.000 10.453
```

---

2.
Compound: CaLaYN2
Source: Alexandria via LeMat-Bulk
Functional: GGA-PBE
Structure: relaxed

## Properties
**Volume**: 125.35 Å³ per cell
**Space group**: No. 123
**VASP energy**: -25.07 eV per formula unit
**Crystal system**: tetragonal
**M_tot**: 0.001 μB/f.u.
**Density**: 3.920 g cm⁻³
**D(E_F)**: 7.59 states/eV/cell

```
5
Lattice="4.653 0.000 0.000 0.000 4.653 0.000 0.000 0.000 5.791" Properties=species:S:1:pos:R:3 pbc="T T T"
Ca 0.000 0.000 0.000
La 2.326 2.326 0.000
Y 2.326 2.326 2.896
N 0.000 2.326 2.896
N 2.326 0.000 2.896
```

---

3.
Compound: CaLaY2N
Source: Alexandria via LeMat-Bulk
Functional: GGA-PBE
Structure: relaxed

## Properties
**Volume**: 133.76 Å³ per cell
**Space group**: No. 123
**VASP energy**: -30.57 eV per formula unit
**Crystal system**: tetragonal
**M_tot**: 0.000 μB/f.u.
**Density**: 4.603 g cm⁻³
**D(E_F)**: 4.55 states/eV/cell

```
5
Lattice="4.915 0.000 0.000 0.000 4.915 0.000 0.000 0.000 5.536" Properties=species:S:1:pos:R:3 pbc="T T T"
Ca 0.000 0.000 0.000
La 2.458 2.458 0.000
Y 0.000 2.458 2.768
Y 2.458 0.000 2.768
N 2.458 2.458 2.768
```

---

Number 2 is which compound? CaLaYN2

---

Which of these has the highest density? CaLaWN4

---

D(E_F) of number 1 (CaLaWN4)? 4.05 states/eV/cell